# TlSbF3

A geometry-optimized TlSbF3 structure (PBE-GGA, Alexandria via LeMat-Bulk).

a = 4.678 Å, b = 4.678 Å, c = 4.678 Å
α = 90.00°, β = 90.00°, γ = 90.00°
Space group Pm-3m (No. 221)
Asymmetric unit:
Tl1 0.000 0.000 0.000 x1
Sb1 0.500 0.500 0.500 x1
F1 0.000 0.500 0.500 x3

## Properties
- ρ: 6.22 Mg/m³
- Total energy: -4.0841 eV per atom
- Total moment: 0.0 μB/cell
- DOS(E_F): 0.446 states/eV/atom